Entry 1:
Computed, not measured: a relaxed CeTmAgSb crystal at the PBE level of DFT.

Cell: 5.270 5.270 5.270 Å, 60.00 60.00 60.00°
Fractional coordinates of all 4 atoms:
Ce: 0.000 0.000 0.000
Tm: 0.500 0.500 0.500
Ag: 0.750 0.750 0.750
Sb: 0.250 0.250 0.250

Values from the calculation:
- M_tot: 2.07 μB per formula unit
- Formation energy (no corrections): -0.479 eV/atom



Entry 2:
Computed, not measured: a relaxed CeSc4Ag5 crystal at the PBE level of DFT.

Cell: 3.430 3.430 18.031 Å, 90.00 90.00 90.00°
Fractional coordinates of all 10 atoms:
Ce: 0.000 0.000 0.000
Sc: 0.000 0.000 0.213
Sc: 0.000 0.000 0.404
Sc: 0.000 0.000 0.596
Sc: 0.000 0.000 0.787
Ag: 0.500 0.500 0.122
Ag: 0.500 0.500 0.308
Ag: 0.500 0.500 0.500
Ag: 0.500 0.500 0.692
Ag: 0.500 0.500 0.878

Values from the calculation:
- M_tot: 1.17 μB per formula unit
- Formation energy from the elements: -0.2344 eV/atom



Entry 3:
Computed, not measured: a relaxed Ce2ScAg6 crystal at the PBE level of DFT.

Cell: 8.458 8.458 3.121 Å, 90.00 90.00 120.00°
Fractional coordinates of all 9 atoms:
Ce: 0.333 0.667 0.000
Ce: 0.667 0.333 0.000
Sc: 0.000 0.000 0.000
Ag: 0.000 0.327 0.500
Ag: 0.000 0.673 0.500
Ag: 0.327 0.000 0.500
Ag: 0.327 0.327 0.500
Ag: 0.673 0.000 0.500
Ag: 0.673 0.673 0.500

Values from the calculation:
- M_tot: 2.54 μB per formula unit
- Formation energy from the elements: -0.1452 eV/atom



Entry 4:
Computed, not measured: a relaxed CeSc5Ag4 crystal at the PBE level of DFT.

Cell: 3.413 3.413 18.425 Å, 90.00 90.00 90.00°
Fractional coordinates of all 10 atoms:
Ce: 0.000 0.000 0.000
Sc: 0.500 0.500 0.123
Sc: 0.500 0.500 0.311
Sc: 0.500 0.500 0.500
Sc: 0.500 0.500 0.689
Sc: 0.500 0.500 0.877
Ag: 0.000 0.000 0.218
Ag: 0.000 0.000 0.406
Ag: 0.000 0.000 0.594
Ag: 0.000 0.000 0.782

Values from the calculation:
- M_tot: 0.29 μB per formula unit
- Formation energy from the elements: -0.1996 eV/atom



Entry 5:
Computed, not measured: a relaxed Ce3ScAg3Se8 crystal at the PBE level of DFT.

Cell: 8.004 8.004 8.014 Å, 116.10 116.10 63.96°
Fractional coordinates of all 15 atoms:
Ce: 0.000 0.000 0.000
Ce: 0.000 0.500 0.500
Ce: 0.500 0.000 0.500
Sc: 0.500 0.500 0.000
Ag: 0.000 0.500 0.000
Ag: 0.500 0.000 0.000
Ag: 0.500 0.500 0.500
Se: 0.252 0.252 0.249
Se: 0.262 0.262 0.764
Se: 0.262 0.735 0.237
Se: 0.265 0.738 0.763
Se: 0.735 0.262 0.237
Se: 0.738 0.265 0.763
Se: 0.738 0.738 0.236
Se: 0.748 0.748 0.751

Values from the calculation:
- M_tot: 2.01 μB per formula unit
- Formation energy (no corrections): -1.210 eV/atom



Entry 6:
Computed, not measured: a relaxed CeScSiAg crystal at the PBE level of DFT.

Cell: 4.980 4.980 4.980 Å, 60.00 60.00 60.00°
Fractional coordinates of all 4 atoms:
Ce: 0.000 0.000 0.000
Sc: 0.500 0.500 0.500
Si: 0.250 0.250 0.250
Ag: 0.750 0.750 0.750

Values from the calculation:
- M_tot: 1.38 μB per formula unit
- Formation energy (no corrections): -0.331 eV/atom



Entry 7:
Computed, not measured: a relaxed CeScTcAg crystal at the PBE level of DFT.

Cell: 4.883 4.883 4.883 Å, 60.00 60.00 60.00°
Fractional coordinates of all 4 atoms:
Ce: 0.000 0.000 0.000
Sc: 0.500 0.500 0.500
Tc: 0.250 0.250 0.250
Ag: 0.750 0.750 0.750

Values from the calculation:
- M_tot: 0.34 μB per formula unit
- Formation energy from the elements: -0.0983 eV/atom



Entry 8:
Computed, not measured: a relaxed Ce2AgSe3 crystal at the PBE level of DFT.

Cell: 8.795 8.795 8.795 Å, 154.62 147.80 41.44°
Fractional coordinates of all 6 atoms:
Ce: 0.142 0.142 0.000
Ce: 0.858 0.858 0.000
Ag: 0.500 0.500 0.000
Se: 0.000 0.500 0.500
Se: 0.323 0.323 0.000
Se: 0.677 0.677 0.000

Values from the calculation:
- M_tot: 2.35 μB per formula unit
- Formation energy (no corrections): -1.299 eV/atom



Entry 9:
Computed, not measured: a relaxed CeAg5Se4 crystal at the PBE level of DFT.

Cell: 8.525 8.525 8.525 Å, 150.38 125.78 63.00°
Fractional coordinates of all 10 atoms:
Ce: 0.000 0.000 0.000
Ag: 0.034 0.318 0.716
Ag: 0.398 0.682 0.716
Ag: 0.500 0.000 0.500
Ag: 0.602 0.318 0.284
Ag: 0.966 0.682 0.284
Se: 0.208 0.208 0.000
Se: 0.268 0.500 0.768
Se: 0.732 0.500 0.232
Se: 0.792 0.792 0.000

Values from the calculation:
- M_tot: 0.87 μB per formula unit
- Formation energy (no corrections): -0.480 eV/atom



Entry 10:
Computed, not measured: a relaxed CeAg5Se5 crystal at the PBE level of DFT.

Cell: 5.670 7.041 8.127 Å, 71.91 73.84 66.57°
Fractional coordinates of all 11 atoms:
Ce: 0.000 0.000 0.000
Ag: 0.040 0.711 0.465
Ag: 0.380 0.412 0.851
Ag: 0.500 0.000 0.500
Ag: 0.620 0.588 0.149
Ag: 0.960 0.289 0.535
Se: 0.128 0.565 0.193
Se: 0.188 0.818 0.688
Se: 0.500 0.000 0.000
Se: 0.812 0.182 0.312
Se: 0.872 0.435 0.807

Values from the calculation:
- M_tot: 0.00 μB per formula unit
- Formation energy (no corrections): -0.438 eV/atom



Entry 11:
Computed, not measured: a relaxed CeAg7Se6 crystal at the PBE level of DFT.

Cell: 8.198 8.198 8.198 Å, 53.97 53.97 53.97°
Fractional coordinates of all 14 atoms:
Ce: 0.000 0.000 0.000
Ag: 0.133 0.445 0.805
Ag: 0.194 0.869 0.555
Ag: 0.445 0.805 0.133
Ag: 0.555 0.194 0.869
Ag: 0.666 0.666 0.666
Ag: 0.805 0.133 0.445
Ag: 0.869 0.555 0.194
Se: 0.067 0.744 0.409
Se: 0.262 0.593 0.925
Se: 0.409 0.067 0.744
Se: 0.593 0.925 0.262
Se: 0.744 0.409 0.067
Se: 0.925 0.262 0.593

Values from the calculation:
- M_tot: 0.00 μB per formula unit
- Formation energy (no corrections): -0.375 eV/atom



Entry 12:
Computed, not measured: a relaxed SrCeAg2Se4 crystal at the PBE level of DFT.

Cell: 6.574 6.574 6.574 Å, 114.07 110.99 103.53°
Fractional coordinates of all 8 atoms:
Sr: 0.000 0.000 0.000
Ce: 0.500 0.500 0.000
Ag: 0.321 0.821 0.500
Ag: 0.679 0.179 0.500
Se: 0.077 0.076 0.547
Se: 0.471 0.924 0.001
Se: 0.529 0.530 0.453
Se: 0.923 0.470 0.999

Values from the calculation:
- M_tot: 0.39 μB per formula unit
- Formation energy (no corrections): -1.035 eV/atom



Entry 13:
Computed, not measured: a relaxed TbCe2AgSe5 crystal at the PBE level of DFT.

Cell: 9.007 9.007 12.545 Å, 90.00 90.00 153.37°
Fractional coordinates of all 18 atoms:
Tb: 0.196 0.804 0.500
Tb: 0.804 0.196 0.000
Ce: 0.111 0.889 0.176
Ce: 0.124 0.876 0.798
Ce: 0.876 0.124 0.298
Ce: 0.889 0.111 0.676
Ag: 0.444 0.556 0.948
Ag: 0.556 0.444 0.448
Se: 0.045 0.955 0.569
Se: 0.288 0.712 0.160
Se: 0.306 0.694 0.836
Se: 0.360 0.640 0.492
Se: 0.497 0.503 0.261
Se: 0.503 0.497 0.761
Se: 0.640 0.360 0.992
Se: 0.694 0.306 0.336
Se: 0.712 0.288 0.660
Se: 0.955 0.045 0.069

Values from the calculation:
- M_tot: 1.96 μB per formula unit
- Formation energy (no corrections): -1.513 eV/atom



Entry 14:
Computed, not measured: a relaxed CeAgTeSe crystal at the PBE level of DFT.

Cell: 12.087 12.087 12.087 Å, 22.77 22.77 22.77°
Fractional coordinates of all 8 atoms:
Ce: 0.111 0.111 0.111
Ce: 0.889 0.889 0.889
Ag: 0.305 0.305 0.305
Ag: 0.695 0.695 0.695
Te: 0.388 0.388 0.388
Te: 0.612 0.612 0.612
Se: 0.197 0.197 0.197
Se: 0.803 0.803 0.803

Values from the calculation:
- M_tot: 1.00 μB per formula unit
- Formation energy (no corrections): -1.040 eV/atom



Entry 15:
Computed, not measured: a relaxed Ce3Tl3AgSe8 crystal at the PBE level of DFT.

Cell: 9.109 9.109 9.109 Å, 54.89 54.89 54.89°
Fractional coordinates of all 15 atoms:
Ce: 0.000 0.500 0.500
Ce: 0.500 0.000 0.500
Ce: 0.500 0.500 0.000
Tl: 0.000 0.000 0.500
Tl: 0.000 0.500 0.000
Tl: 0.500 0.000 0.000
Ag: 0.000 0.000 0.000
Se: 0.239 0.239 0.725
Se: 0.239 0.725 0.239
Se: 0.263 0.263 0.263
Se: 0.275 0.761 0.761
Se: 0.725 0.239 0.239
Se: 0.737 0.737 0.737
Se: 0.761 0.275 0.761
Se: 0.761 0.761 0.275

Values from the calculation:
- M_tot: 0.49 μB per formula unit
- Formation energy (no corrections): -1.071 eV/atom



Entry 16:
Computed, not measured: a relaxed Ce3Tl4AgSe8 crystal at the PBE level of DFT.

Cell: 7.351 7.351 7.774 Å, 90.15 90.15 92.59°
Fractional coordinates of all 16 atoms:
Ce: 0.000 0.000 0.000
Ce: 0.000 0.500 0.000
Ce: 0.500 0.000 0.000
Tl: 0.000 0.000 0.500
Tl: 0.000 0.500 0.500
Tl: 0.500 0.000 0.500
Tl: 0.500 0.500 0.500
Ag: 0.500 0.500 0.000
Se: 0.236 0.763 0.214
Se: 0.237 0.764 0.786
Se: 0.255 0.255 0.209
Se: 0.257 0.257 0.794
Se: 0.743 0.743 0.206
Se: 0.745 0.745 0.791
Se: 0.763 0.236 0.214
Se: 0.764 0.237 0.786

Values from the calculation:
- M_tot: 1.04 μB per formula unit
- Formation energy (no corrections): -0.948 eV/atom



Entry 17:
Computed, not measured: a relaxed CeTl2AgSe4 crystal at the PBE level of DFT.

Cell: 7.202 4.167 8.133 Å, 90.00 110.76 90.00°
Fractional coordinates of all 8 atoms:
Ce: 0.000 0.000 0.000
Tl: 0.000 0.500 0.500
Tl: 0.500 0.000 0.500
Ag: 0.500 0.500 0.000
Se: 0.218 0.500 0.221
Se: 0.276 0.000 0.806
Se: 0.724 0.000 0.194
Se: 0.782 0.500 0.779

Values from the calculation:
- M_tot: 0.00 μB per formula unit
- Formation energy (no corrections): -0.749 eV/atom



Entry 18:
Computed, not measured: a relaxed CeYAgSe4 crystal at the PBE level of DFT.

Cell: 8.350 8.350 8.350 Å, 120.86 118.63 90.46°
Fractional coordinates of all 14 atoms:
Ce: 0.000 0.000 0.000
Ce: 0.500 0.000 0.500
Y: 0.500 0.000 0.000
Y: 0.500 0.500 0.500
Ag: 0.118 0.368 0.750
Ag: 0.882 0.632 0.250
Se: 0.255 0.241 0.486
Se: 0.255 0.769 0.014
Se: 0.258 0.243 0.015
Se: 0.273 0.757 0.515
Se: 0.727 0.243 0.485
Se: 0.742 0.757 0.985
Se: 0.745 0.231 0.986
Se: 0.745 0.759 0.514

Values from the calculation:
- M_tot: 0.00 μB per formula unit
- Formation energy (no corrections): -1.383 eV/atom



Entry 19:
Computed, not measured: a relaxed Ce3Si4Ag crystal at the PBE level of DFT.

Cell: 8.276 8.276 8.276 Å, 149.68 138.13 52.56°
Fractional coordinates of all 8 atoms:
Ce: 0.000 0.000 0.000
Ce: 0.310 0.810 0.500
Ce: 0.690 0.190 0.500
Si: 0.077 0.377 0.700
Si: 0.323 0.623 0.700
Si: 0.677 0.377 0.300
Si: 0.923 0.623 0.300
Ag: 0.500 0.500 0.000

Values from the calculation:
- M_tot: 2.04 μB per formula unit
- Formation energy (no corrections): -0.396 eV/atom



Entry 20:
Computed, not measured: a relaxed Ce3Si4Ag2 crystal at the PBE level of DFT.

Cell: 5.890 5.890 8.405 Å, 102.13 102.13 42.65°
Fractional coordinates of all 9 atoms:
Ce: 0.000 0.000 0.000
Ce: 0.339 0.339 0.325
Ce: 0.661 0.661 0.675
Si: 0.060 0.060 0.400
Si: 0.278 0.278 0.953
Si: 0.722 0.722 0.047
Si: 0.940 0.940 0.600
Ag: 0.383 0.383 0.718
Ag: 0.617 0.617 0.282

Values from the calculation:
- M_tot: 2.18 μB per formula unit
- Formation energy (no corrections): -0.531 eV/atom



Entry 21:
Computed, not measured: a relaxed CeSi2Ag4 crystal at the PBE level of DFT.

Cell: 7.812 7.812 4.178 Å, 90.00 90.00 148.86°
Fractional coordinates of all 7 atoms:
Ce: 0.000 0.000 0.000
Si: 0.423 0.577 0.500
Si: 0.577 0.423 0.500
Ag: 0.179 0.821 0.500
Ag: 0.320 0.680 0.000
Ag: 0.680 0.320 0.000
Ag: 0.821 0.179 0.500

Values from the calculation:
- M_tot: 0.65 μB per formula unit
- Formation energy (no corrections): -0.251 eV/atom



Entry 22:
Computed, not measured: a relaxed Ce2SiAg crystal at the PBE level of DFT.

Cell: 8.061 8.061 8.061 Å, 29.45 29.45 29.45°
Fractional coordinates of all 4 atoms:
Ce: 0.240 0.240 0.240
Ce: 0.760 0.760 0.760
Si: 0.500 0.500 0.500
Ag: 0.000 0.000 0.000

Values from the calculation:
- M_tot: 2.19 μB per formula unit
- Formation energy (no corrections): -0.156 eV/atom



Entry 23:
Computed, not measured: a relaxed Ce2SiAg crystal at the PBE level of DFT.

Cell: 3.811 3.811 6.564 Å, 90.00 90.00 90.00°
Fractional coordinates of all 4 atoms:
Ce: 0.000 0.000 0.210
Ce: 0.000 0.000 0.790
Si: 0.500 0.500 0.000
Ag: 0.500 0.500 0.500

Values from the calculation:
- M_tot: 1.58 μB per formula unit
- Formation energy (no corrections): -0.345 eV/atom